[1]
# IrRu2O8

A relaxed IrRu2O8 crystal (GGA-PBE, the Alexandria database).

Structure (CIF):
```
data_IrRu2O8
_symmetry_space_group_name_H-M 'P -3'
_symmetry_Int_Tables_number 147
_symmetry_space_group_name_Hall '-P 3'
_cell_length_a 5.1429
_cell_length_b 5.1429
_cell_length_c 7.5482
_cell_angle_alpha 90.00
_cell_angle_beta 90.00
_cell_angle_gamma 120.00
loop_
_atom_site_label
_atom_site_type_symbol
_atom_site_fract_x
_atom_site_fract_y
_atom_site_fract_z
Ir1 Ir 0.0000 0.0000 0.0000
Ru1 Ru 0.3333 0.6667 0.7514
O1 O 0.0242 0.3262 0.8482
O2 O 0.3333 0.6667 0.5251
```

* calculated volume: 15.718 Å³ per atom
* N(E_F): 0.78 states/eV/atom
* final energy: -74.40 eV for the cell shown
* ΔE_f (raw): -0.67 eV/atom



[2]
# CaPm6Sm8

A relaxed CaPm6Sm8 crystal (GGA-PBE, the Alexandria database).

Structure (CIF):
```
data_CaPm6Sm8
_symmetry_space_group_name_H-M 'R -3'
_symmetry_Int_Tables_number 148
_symmetry_space_group_name_Hall '-R 3'
_cell_length_a 9.8434
_cell_length_b 9.8434
_cell_length_c 18.3547
_cell_angle_alpha 90.00
_cell_angle_beta 90.00
_cell_angle_gamma 120.00
loop_
_atom_site_label
_atom_site_type_symbol
_atom_site_fract_x
_atom_site_fract_y
_atom_site_fract_z
Ca1 Ca 0.0000 0.0000 0.0000
Pm1 Pm 0.0236 0.2362 0.4072
Sm1 Sm 0.0000 0.0000 0.2337
Sm2 Sm 0.0458 0.2821 0.9016
```

* calculated volume: 34.226 Å³ per atom
* N(E_F): 1.31 states/eV/atom
* final energy: -197.58 eV for the cell shown



[3]
# LaTb2AlN

A relaxed LaTb2AlN crystal (GGA-PBE, the Alexandria database).

Structure (CIF):
```
data_LaTb2AlN
_symmetry_space_group_name_H-M 'P 4/m m m'
_symmetry_Int_Tables_number 123
_symmetry_space_group_name_Hall '-P 4 2'
_cell_length_a 4.8479
_cell_length_b 4.8479
_cell_length_c 5.0368
_cell_angle_alpha 90.00
_cell_angle_beta 90.00
_cell_angle_gamma 90.00
loop_
_atom_site_label
_atom_site_type_symbol
_atom_site_fract_x
_atom_site_fract_y
_atom_site_fract_z
La1 La 0.0000 0.0000 0.0000
Tb1 Tb 0.0000 0.5000 0.5000
Al1 Al 0.5000 0.5000 0.0000
N1 N 0.0000 0.0000 0.5000
```

* calculated volume: 23.675 Å³ per atom
* N(E_F): 0.52 states/eV/atom
* final energy: -30.38 eV for the cell shown
* ΔE_f (raw): -0.82 eV/atom



[4]
# LaHgIr

A relaxed LaHgIr crystal (GGA-PBE, the Alexandria database).

Structure (CIF):
```
data_LaHgIr
_symmetry_space_group_name_H-M 'I 4 m m'
_symmetry_Int_Tables_number 107
_symmetry_space_group_name_Hall 'I 4 -2'
_cell_length_a 3.5465
_cell_length_b 3.5465
_cell_length_c 11.3679
_cell_angle_alpha 90.00
_cell_angle_beta 90.00
_cell_angle_gamma 90.00
loop_
_atom_site_label
_atom_site_type_symbol
_atom_site_fract_x
_atom_site_fract_y
_atom_site_fract_z
La1 La 0.0000 0.0000 0.0000
Hg1 Hg 0.0000 0.0000 0.7133
Ir1 Ir 0.0000 0.0000 0.3602
```

* calculated volume: 23.830 Å³ per atom
* N(E_F): 0.37 states/eV/atom
* final energy: -29.92 eV for the cell shown



[5]
# AlZnPb3

A relaxed AlZnPb3 crystal (GGA-PBE, the Alexandria database).

Structure (CIF):
```
data_AlZnPb3
_symmetry_space_group_name_H-M 'P m -3 m'
_symmetry_Int_Tables_number 221
_symmetry_space_group_name_Hall '-P 4 2 3'
_cell_length_a 5.3950
_cell_length_b 5.3950
_cell_length_c 5.3950
_cell_angle_alpha 90.00
_cell_angle_beta 90.00
_cell_angle_gamma 90.00
loop_
_atom_site_label
_atom_site_type_symbol
_atom_site_fract_x
_atom_site_fract_y
_atom_site_fract_z
Al1 Al 0.0000 0.0000 0.0000
Zn1 Zn 0.5000 0.5000 0.5000
Pb1 Pb 0.0000 0.5000 0.5000
```

* calculated volume: 31.406 Å³ per atom
* N(E_F): 0.73 states/eV/atom
* final energy: -13.60 eV for the cell shown



[6]
# La2PrDyTh

A relaxed La2PrDyTh crystal (GGA-PBE, the Alexandria database).

Structure (CIF):
```
data_La2PrDyTh
_symmetry_space_group_name_H-M 'P 1 2/c 1'
_symmetry_Int_Tables_number 13
_symmetry_space_group_name_Hall '-P 2yc'
_cell_length_a 6.4616
_cell_length_b 8.5411
_cell_length_c 6.6223
_cell_angle_alpha 90.00
_cell_angle_beta 102.14
_cell_angle_gamma 90.00
loop_
_atom_site_label
_atom_site_type_symbol
_atom_site_fract_x
_atom_site_fract_y
_atom_site_fract_z
La1 La 0.2188 0.1738 0.1691
Pr1 Pr 0.0000 0.3941 0.7500
Dy1 Dy 0.5000 0.1616 0.7500
Th1 Th 0.5000 0.5000 0.0000
```

* calculated volume: 35.730 Å³ per atom
* N(E_F): 1.71 states/eV/atom
* final energy: -51.17 eV for the cell shown



[7]
# ZrMnTe2

A relaxed ZrMnTe2 crystal (GGA-PBE, the Alexandria database).

Structure (CIF):
```
data_ZrMnTe2
_symmetry_space_group_name_H-M 'A m m 2'
_symmetry_Int_Tables_number 38
_symmetry_space_group_name_Hall 'A 2 -2'
_cell_length_a 3.8524
_cell_length_b 3.9024
_cell_length_c 12.8530
_cell_angle_alpha 90.00
_cell_angle_beta 90.00
_cell_angle_gamma 90.00
loop_
_atom_site_label
_atom_site_type_symbol
_atom_site_fract_x
_atom_site_fract_y
_atom_site_fract_z
Zr1 Zr 0.0000 0.0000 0.0000
Mn1 Mn 0.5000 0.0000 0.8173
Te1 Te 0.0000 0.0000 0.3288
Te2 Te 0.5000 0.0000 0.5986
```

* calculated volume: 24.153 Å³ per atom
* N(E_F): 0.70 states/eV/atom
* final energy: -51.88 eV for the cell shown
* ΔE_f (raw): -0.48 eV/atom



[8]
# MnGa2Pd

A relaxed MnGa2Pd crystal (GGA-PBE, the Alexandria database).

Structure (CIF):
```
data_MnGa2Pd
_symmetry_space_group_name_H-M 'R 3 m'
_symmetry_Int_Tables_number 160
_symmetry_space_group_name_Hall 'R 3 -2"'
_cell_length_a 2.9018
_cell_length_b 2.9018
_cell_length_c 24.4395
_cell_angle_alpha 90.00
_cell_angle_beta 90.00
_cell_angle_gamma 120.00
loop_
_atom_site_label
_atom_site_type_symbol
_atom_site_fract_x
_atom_site_fract_y
_atom_site_fract_z
Mn1 Mn 0.0000 0.0000 0.0000
Ga1 Ga 0.0000 0.0000 0.5837
Ga2 Ga 0.0000 0.0000 0.7489
Pd1 Pd 0.0000 0.0000 0.1661
```

* calculated volume: 14.852 Å³ per atom
* N(E_F): 0.57 states/eV/atom
* final energy: -64.42 eV for the cell shown